[1]
Density functional theory data (PBE) for an optimized crystal structure of K2YOs.

a b c (Å): 5.3073 5.3073 5.3073
angles (deg): 119.92 119.92 90.14
Closest atoms and distances in Å follow each position.
Fractional coordinates of all 4 atoms:
Os (0.5000, 0.5000, 0.0000)  4 K 3.25, 4 Y 3.25
K (0.0000, 0.0000, 0.0000)  4 K 3.25, 4 Y 3.25
K (0.2500, 0.7500, 0.5000)  4 Os 3.25, 4 K 3.25
Y (0.7500, 0.2500, 0.5000)  4 K 3.25, 4 Os 3.25

Calculated values
- space group = No. 119
- energy above the lowest structure with this stoichiometry (meV/atom) = 516.8
- total DFT energy (no corrections) (eV/atom) = -3.954

***

[2]
Density functional theory data (PBE) for an optimized crystal structure of Sr2BeFe.

a b c (Å): 5.1478 5.1478 5.1478
angles (deg): 60.00 60.00 60.00
Closest atoms and distances in Å follow each position.
Fractional coordinates of all 4 atoms:
Sr (0.2500, 0.2500, 0.2500)  4 Be 3.15, 4 Sr 3.15
Sr (0.0000, 0.0000, 0.0000)  4 Sr 3.15, 4 Fe 3.15
Fe (0.7500, 0.7500, 0.7500)  4 Be 3.15, 4 Sr 3.15
Be (0.5000, 0.5000, 0.5000)  4 Fe 3.15, 4 Sr 3.15

Calculated values
- space group = No. 216
- total DFT energy (no corrections) (eV/atom) = -3.023

***

[3]
Density functional theory data (PBE) for an optimized crystal structure of KNi2Hg.

a b c (Å): 4.6431 2.9162 6.5804
angles (deg): 83.12 90.00 90.00
Closest atoms and distances in Å follow each position.
Fractional coordinates of all 4 atoms:
K (0.5000, 0.7500, 0.7500)  2 K 2.92
Hg (0.5000, 0.2500, 0.2500)  4 Ni 2.63, 2 Hg 2.92
Ni (0.0000, 0.4811, 0.3941)  2 Ni 2.31-2.45
Ni (0.0000, 0.0189, 0.1059)  2 Ni 2.31-2.45

Calculated values
- space group = No. 10
- total DFT energy (no corrections) (eV/atom) = -2.742

***

[4]
Density functional theory data (PBE) for an optimized crystal structure of Be2NiSb.

a b c (Å): 3.7593 3.7579 3.6339
angles (deg): 90.00 90.00 90.00
Closest atoms and distances in Å follow each position.
Fractional coordinates of all 4 atoms:
Sb (0.0000, 0.5000, 0.5000)  8 Be 2.61, 4 Ni 2.66
Be (0.0000, 0.0000, 0.0000)  4 Sb 2.61, 4 Ni 2.61, 4 Be 2.66
Be (0.5000, 0.5000, 0.0000)  4 Ni 2.61, 4 Sb 2.61, 4 Be 2.66
Ni (0.5000, 0.0000, 0.5000)  8 Be 2.61, 4 Sb 2.66

Calculated values
- formation energy (no corrections) (meV/atom) = 227
- space group = No. 123
- total DFT energy (no corrections) (eV/atom) = -4.112

***

[5]
Density functional theory data (PBE) for an optimized crystal structure of Fe2CoIr.

a b c (Å): 2.9197 2.9197 5.9364
angles (deg): 90.00 90.00 90.00
Closest atoms and distances in Å follow each position.
Fractional coordinates of all 4 atoms:
Co (0.5000, 0.5000, 0.7500)  8 Fe 2.48
Fe (0.0000, 0.0000, 0.9814)  4 Co 2.48, 4 Ir 2.61, 1 Fe 2.75
Fe (0.0000, 0.0000, 0.5186)  4 Co 2.48, 4 Ir 2.61, 1 Fe 2.75
Ir (0.5000, 0.5000, 0.2500)  8 Fe 2.61, 4 Ir 2.92

Calculated values
- space group = No. 123
- total DFT energy (no corrections) (eV/atom) = -8.238

***

[6]
Density functional theory data (PBE) for an optimized crystal structure of KSrPm2Se4.

a b c (Å): 4.2849 7.7309 7.4391
angles (deg): 71.49 90.00 90.00
Closest atoms and distances in Å follow each position.
Fractional coordinates of all 8 atoms:
Sr (0.0000, 0.5000, 0.5000)  6 Se 3.15-3.16
K (0.5000, 0.5000, 0.0000)  6 Se 3.18-3.21
Se (0.0000, 0.2247, 0.2632)  3 Pm 2.96-3.00, 1 Sr 3.16, 2 K 3.21
Se (0.5000, 0.2323, 0.7519)  3 Pm 2.98-3.02, 2 Sr 3.15, 1 K 3.18
Se (0.5000, 0.7677, 0.2481)  3 Pm 2.98-3.02, 2 Sr 3.15, 1 K 3.18
Se (0.0000, 0.7753, 0.7368)  3 Pm 2.96-3.00, 1 Sr 3.16, 2 K 3.21
Pm (0.5000, 0.0000, 0.5000)  6 Se 2.96-2.98
Pm (0.0000, 0.0000, 0.0000)  6 Se 3.00-3.02

Calculated values
- formation energy (no corrections) (meV/atom) = -1828
- space group = No. 10
- total DFT energy (no corrections) (eV/atom) = -5.106

***

Which of these has the lowest total DFT energy (no corrections)?
Fe2CoIr

***

Number 4 is which compound?
Be2NiSb